## Sr2FeP6W (GGA-PBE)

Data for crystalline Sr2FeP6W at its relaxed geometry.

Output
calculated total energy = -174.21 eV per cell
total magnetic moment = 2.3 μB/cell

Cell and atoms, written as CIF:
```
data_Sr2FeP6W
_space_group_name_H-M_alt 'R -3'
_space_group_IT_number 148
_space_group_name_Hall '-R 3'
_cell_length_a 6.3585
_cell_length_b 6.3585
_cell_length_c 15.3640
_cell_angle_alpha 90.00
_cell_angle_beta 90.00
_cell_angle_gamma 120.00
loop_
_atom_site_label
_atom_site_type_symbol
_atom_site_fract_x
_atom_site_fract_y
_atom_site_fract_z
_atom_site_occupancy
Sr1 Sr 0.0000 0.0000 0.1982 1
Fe1 Fe 0.0000 0.0000 0.5000 1
P1 P 0.0138 0.2456 0.6185 1
W1 W 0.0000 0.0000 0.0000 1
```